CePmLu2 | PBE-GGA | relaxed

abc: 3.5087 3.5087 34.1320
angles: 90.00 90.00 120.00
Space group R-3m (No. 166, hexagonal axes)
Unique sites:
Ce: 0.0000 0.0000 0.0000 [3 per cell]
Pm: 0.0000 0.0000 0.5000 [3 per cell]
Lu: 0.0000 0.0000 0.2515 [6 per cell]

Results
For the total energy, the calculation gives -58.531 eV for the cell shown. Its density of states at the Fermi level is 21.44 states/eV/cell. The value obtained for the formation energy is 0.216 eV/f.u. For the energy above the most stable polymorph in this dataset, the calculation gives 0.0 meV/atom.